ScMnSeO5 | Alexandria via LeMat-Bulk | GGA+U | optimized geometry; energy = -112.3 eV for the cell shown; space group = C2/c (15); volume = 13.709 Å³/atom; size of the total moment = 7.92 Bohr magnetons per cell
1.0
3.9711 -4.0567 0.0000
3.9711 4.0567 0.0000
-3.9033 0.0000 6.8079
Sc Mn Se O
2 2 2 10
Direct
0.0000 0.0000 0.0000
0.0000 0.0000 0.5000
0.2900 0.7100 0.7500
0.7100 0.2900 0.2500
0.3423 0.6577 0.2500
0.6577 0.3423 0.7500
0.0533 0.9467 0.7500
0.2534 0.7263 0.4948
0.2737 0.7466 0.0052
0.3128 0.3288 0.1573
0.3288 0.3128 0.6573
0.6712 0.6872 0.3427
0.6872 0.6712 0.8427
0.7263 0.2534 0.9948
0.7466 0.2737 0.5052
0.9467 0.0533 0.2500